10
Lattice="6.3056 0.0000 0.0000 0.0000 6.3056 0.0000 0.0000 0.0000 2.7446" Properties=species:S:1:pos:R:3 comment="SiB2Ir2 (meta-GGA SCAN, PBEsol geometry)" m_tot_mub_per_cell=0.00 raw_formation_energy_ev_per_atom=0.121 pbc="T T T"
Si 0.0000 0.0000 0.0000
Si 3.1528 3.1528 0.0000
B 0.5748 2.5780 0.0000
B 2.5780 5.7308 0.0000
B 3.7276 0.5748 0.0000
B 5.7308 3.7276 0.0000
Ir 1.4112 4.5640 1.3723
Ir 1.7416 1.4112 1.3723
Ir 4.5640 4.8944 1.3723
Ir 4.8944 1.7416 1.3723